(1)
{"formula": "CeNd2Dy", "functional": "PBE", "state": "optimized geometry", "delta_e_f_kj_per_mol_atoms": 6.51, "sg": "P4/mmm", "lattice": [[-2.281, 2.356, -1.436], [-2.733, -1.675, 1.593], [1.079, 6.045, 8.207]], "species": ["Nd", "Nd", "Dy", "Ce"], "frac_coords": [[0.000, 0.000, 0.255], [0.000, 0.000, 0.745], [0.500, 0.500, 0.000], [0.500, 0.500, 0.500]]}

=====

(2)
{"formula": "Cd2NiP", "functional": "PBE", "state": "optimized geometry", "delta_e_f_kj_per_mol_atoms": 25.05, "sg": "I4/mmm", "lattice": [[1.404, -0.356, 4.852], [-3.537, 1.874, 3.101], [-0.152, -3.329, -3.813]], "species": ["P", "Cd", "Cd", "Ni"], "frac_coords": [[0.000, 0.000, 0.000], [0.250, 0.750, 0.500], [0.750, 0.250, 0.500], [0.500, 0.500, 0.000]]}

=====

(3)
{"formula": "Hf2HgSeI", "functional": "PBE", "state": "optimized geometry", "sg": "P4/mmm", "formation_energy_uncorrected_ev_per_atom": 1.30, "lattice": [[5.257, 0.000, 0.000], [0.000, 5.257, 0.000], [0.000, 0.000, 5.591]], "species": ["Hf", "Hf", "Hg", "I", "Se"], "frac_coords": [[0.500, 0.000, 0.000], [0.000, 0.500, 0.000], [0.000, 0.000, 0.500], [0.000, 0.000, 0.000], [0.500, 0.500, 0.500]]}

=====

(4)
{"formula": "KSc2Tl", "functional": "PBE", "state": "optimized geometry", "delta_e_f_kj_per_mol_atoms": 21.75, "sg": "Pmmm", "lattice": [[3.426, 0.000, 0.000], [0.000, 4.219, 0.000], [0.000, 0.000, 9.117]], "species": ["Sc", "Sc", "K", "Tl"], "frac_coords": [[0.000, 0.000, 0.090], [0.000, 0.000, 0.410], [0.500, 0.500, 0.750], [0.500, 0.500, 0.250]]}

=====

(5)
{"formula": "ErMg14Pb", "functional": "PBE", "state": "optimized geometry", "delta_e_f_kj_per_mol_atoms": 0.28, "sg": "Cmmm", "lattice": [[-3.777, 1.232, 5.068], [1.078, -6.086, 1.807], [7.452, 2.769, 4.879]], "species": ["Pb", "Mg", "Mg", "Mg", "Mg", "Mg", "Mg", "Mg", "Mg", "Mg", "Mg", "Mg", "Mg", "Mg", "Mg", "Er"], "frac_coords": [[0.375, 0.375, 0.500], [0.875, 0.375, 0.000], [0.875, 0.875, 0.000], [0.624, 0.624, 0.759], [0.624, 0.624, 0.241], [0.375, 0.875, 0.500], [0.375, 0.375, 0.000], [0.375, 0.875, 0.000], [0.120, 0.630, 0.756], [0.126, 0.126, 0.759], [0.630, 0.120, 0.244], [0.120, 0.630, 0.244], [0.630, 0.120, 0.756], [0.875, 0.375, 0.500], [0.126, 0.126, 0.241], [0.875, 0.875, 0.500]]}

=====

(6)
{"formula": "Ba2SbPd6Au", "functional": "PBE", "state": "optimized geometry", "sg": "C2/m", "formation_energy_uncorrected_ev_per_atom": -0.53, "lattice": [[6.862, -0.387, 1.133], [-0.357, 7.102, -1.281], [4.020, 2.450, 5.133]], "species": ["Pd", "Pd", "Pd", "Pd", "Pd", "Pd", "Sb", "Ba", "Ba", "Au"], "frac_coords": [[0.743, 0.723, 0.504], [0.773, 0.277, 0.979], [0.257, 0.277, 0.496], [0.248, 0.403, 0.846], [0.752, 0.597, 0.154], [0.227, 0.723, 0.021], [0.500, 0.500, 0.000], [0.733, 0.194, 0.539], [0.267, 0.806, 0.461], [0.000, 0.000, 0.000]]}

=====

(7)
{"formula": "AcCd3Hg5", "functional": "PBE", "state": "optimized geometry", "delta_e_f_kj_per_mol_atoms": -9.36, "sg": "I4/mcm", "lattice": [[6.973, 0.000, -2.467], [-0.873, 6.918, -2.467], [-0.118, -0.134, 10.752]], "species": ["Hg", "Hg", "Hg", "Hg", "Hg", "Hg", "Hg", "Hg", "Hg", "Hg", "Cd", "Cd", "Cd", "Cd", "Cd", "Cd", "Ac", "Ac"], "frac_coords": [[0.106, 0.606, 0.726], [0.380, 0.880, 0.274], [0.606, 0.620, 0.726], [0.880, 0.894, 0.274], [0.894, 0.394, 0.274], [0.620, 0.120, 0.726], [0.500, 0.500, 0.000], [0.394, 0.380, 0.274], [0.120, 0.106, 0.726], [0.000, 0.000, 0.000], [0.250, 0.250, 0.500], [0.869, 0.631, 0.000], [0.750, 0.750, 0.500], [0.131, 0.369, 0.000], [0.369, 0.869, 0.000], [0.631, 0.131, 0.000], [0.750, 0.250, 0.500], [0.250, 0.750, 0.500]]}

=====

(8)
{"formula": "AlH2Au", "functional": "PBE", "state": "optimized geometry", "sg": "I-42d", "lattice": [[5.146, 0.000, 0.000], [0.000, 5.146, 0.000], [2.573, 2.573, 3.687]], "species": ["Al", "Al", "Au", "Au", "H", "H", "H", "H"], "frac_coords": [[0.500, 0.500, 0.000], [0.250, 0.750, 0.500], [0.000, 0.000, 0.000], [0.750, 0.250, 0.500], [0.375, 0.548, 0.750], [0.298, 0.625, 0.250], [0.452, 0.125, 0.250], [0.875, 0.702, 0.750]]}

=====

(9)
{"formula": "TiTeHPd2", "functional": "PBE", "state": "optimized geometry", "sg": "P4/mmm", "lattice": [[4.013, 0.000, 0.000], [0.000, 4.013, 0.000], [0.000, 0.000, 4.486]], "species": ["H", "Te", "Ti", "Pd", "Pd"], "frac_coords": [[0.000, 0.000, 0.000], [0.500, 0.500, 0.500], [0.000, 0.000, 0.500], [0.000, 0.500, 0.000], [0.500, 0.000, 0.000]]}

=====

(10)
{"formula": "LiReAsO6", "functional": "PBE", "state": "optimized geometry", "sg": "P-31c", "formation_energy_uncorrected_ev_per_atom": -1.43, "lattice": [[-1.814, 1.024, -4.633], [-3.021, -2.098, 3.504], [-2.619, 8.695, 2.948]], "species": ["O", "O", "O", "O", "O", "O", "O", "O", "O", "O", "O", "O", "Re", "Re", "As", "As", "Li", "Li"], "frac_coords": [[0.995, 0.373, 0.640], [0.373, 0.995, 0.140], [0.373, 0.378, 0.360], [0.378, 0.373, 0.860], [0.627, 0.005, 0.860], [0.005, 0.378, 0.140], [0.627, 0.622, 0.640], [0.378, 0.005, 0.640], [0.622, 0.627, 0.140], [0.622, 0.995, 0.360], [0.995, 0.622, 0.860], [0.005, 0.627, 0.360], [0.333, 0.667, 0.750], [0.667, 0.333, 0.250], [0.333, 0.667, 0.250], [0.667, 0.333, 0.750], [0.000, 0.000, 0.000], [0.000, 0.000, 0.500]]}

=====

(11)
{"formula": "K3Ag5Sb2", "functional": "PBE", "state": "optimized geometry", "sg": "Ibam", "formation_energy_uncorrected_ev_per_atom": -0.06, "lattice": [[-5.803, 3.434, 0.270], [-7.656, -6.111, -2.504], [-5.238, -2.863, 8.160]], "species": ["Ag", "Ag", "Ag", "Ag", "Ag", "Ag", "Ag", "Ag", "Ag", "Ag", "K", "K", "K", "K", "K", "K", "Sb", "Sb", "Sb", "Sb"], "frac_coords": [[0.975, 0.775, 0.775], [0.365, 0.728, 0.542], [0.025, 0.225, 0.225], [0.865, 0.542, 0.728], [0.250, 0.500, 0.500], [0.635, 0.272, 0.458], [0.525, 0.225, 0.225], [0.750, 0.500, 0.500], [0.475, 0.775, 0.775], [0.135, 0.458, 0.272], [0.125, 0.147, 0.603], [0.750, 0.000, 0.000], [0.250, 0.000, 0.000], [0.625, 0.603, 0.147], [0.375, 0.397, 0.853], [0.875, 0.853, 0.397], [0.151, 0.684, 0.015], [0.651, 0.015, 0.684], [0.349, 0.985, 0.316], [0.849, 0.316, 0.985]]}

=====

(12)
{"formula": "CeMg2Tl", "functional": "PBE", "state": "optimized geometry", "delta_e_f_kj_per_mol_atoms": -10.46, "sg": "P4/mmm", "lattice": [[4.913, 0.000, 0.000], [0.000, 4.636, 0.000], [0.000, 0.000, 4.636]], "species": ["Mg", "Mg", "Ce", "Tl"], "frac_coords": [[0.000, 0.500, 0.000], [0.000, 0.000, 0.500], [0.500, 0.000, 0.000], [0.500, 0.500, 0.500]]}

=====

(13)
{"formula": "SiMoBr", "functional": "PBE", "state": "optimized geometry", "sg": "Pm", "formation_energy_uncorrected_ev_per_atom": -0.26, "lattice": [[3.603, 0.000, 0.000], [0.000, 3.385, 0.000], [-0.049, 0.000, 10.272]], "species": ["Si", "Si", "Br", "Br", "Mo", "Mo"], "frac_coords": [[0.859, 0.500, 0.927], [0.361, 0.500, 0.104], [0.864, 0.000, 0.359], [0.355, 0.500, 0.671], [0.358, 0.000, 0.868], [0.861, 0.000, 0.117]]}

=====

(14)
{"formula": "TeOs2W", "functional": "PBE", "state": "optimized geometry", "sg": "Pmmm", "formation_energy_uncorrected_ev_per_atom": 0.64, "lattice": [[3.011, 0.000, 0.000], [0.000, 3.693, 0.000], [0.000, 0.000, 6.094]], "species": ["Os", "Os", "Te", "W"], "frac_coords": [[0.000, 0.000, 0.973], [0.000, 0.000, 0.527], [0.500, 0.500, 0.250], [0.500, 0.500, 0.750]]}

=====

(15)
{"formula": "AlAs2SeS", "functional": "PBE", "state": "optimized geometry", "sg": "P4/mmm", "formation_energy_uncorrected_ev_per_atom": 0.67, "lattice": [[-2.348, -2.858, -3.222], [4.265, -1.032, -2.192], [0.572, -3.676, 2.843]], "species": ["S", "Se", "Al", "As", "As"], "frac_coords": [[0.500, 0.500, 0.500], [0.000, 0.000, 0.500], [0.000, 0.000, 0.000], [0.000, 0.500, 0.000], [0.500, 0.000, 0.000]]}

=====

(16)
{"formula": "CeErPb3", "functional": "PBE", "state": "optimized geometry", "delta_e_f_kj_per_mol_atoms": -19.34, "sg": "Pnma", "lattice": [[9.767, 0.000, 0.000], [0.000, 7.145, 0.000], [0.000, 0.000, 9.092]], "species": ["Er", "Er", "Er", "Er", "Ce", "Ce", "Ce", "Ce", "Pb", "Pb", "Pb", "Pb", "Pb", "Pb", "Pb", "Pb", "Pb", "Pb", "Pb", "Pb"], "frac_coords": [[0.000, 0.500, 0.000], [0.500, 0.000, 0.500], [0.000, 0.500, 0.500], [0.500, 0.000, 0.000], [0.593, 0.444, 0.250], [0.407, 0.556, 0.750], [0.907, 0.944, 0.750], [0.093, 0.056, 0.250], [0.163, 0.237, 0.750], [0.702, 0.658, 0.563], [0.798, 0.158, 0.063], [0.798, 0.158, 0.437], [0.298, 0.342, 0.063], [0.702, 0.658, 0.937], [0.298, 0.342, 0.437], [0.202, 0.842, 0.937], [0.202, 0.842, 0.563], [0.837, 0.763, 0.250], [0.663, 0.263, 0.750], [0.337, 0.737, 0.250]]}

=====

(17)
{"formula": "Tb2MgPbC", "functional": "PBE", "state": "optimized geometry", "delta_e_f_kj_per_mol_atoms": -38.87, "sg": "P4/mmm", "lattice": [[-3.164, -2.903, -1.220], [0.734, -2.570, 4.213], [-3.443, 2.785, 2.299]], "species": ["Tb", "Tb", "Pb", "Mg", "C"], "frac_coords": [[0.000, 0.000, 0.500], [0.000, 0.500, 0.000], [0.500, 0.500, 0.500], [0.500, 0.000, 0.000], [0.000, 0.000, 0.000]]}

=====

(18)
{"formula": "Sc2TlAs", "functional": "PBE", "state": "optimized geometry", "delta_e_f_kj_per_mol_atoms": -72.35, "sg": "R3m", "lattice": [[-3.099, -1.884, -0.866], [-0.095, -2.125, -3.062], [1.484, -7.440, 2.846]], "species": ["Tl", "Sc", "Sc", "As"], "frac_coords": [[0.500, 0.500, 0.501], [0.266, 0.266, 0.202], [0.067, 0.067, 0.800], [0.668, 0.668, 0.997]]}

=====

(19)
{"formula": "PmBi3", "functional": "PBE", "state": "optimized geometry", "delta_e_f_kj_per_mol_atoms": -39.62, "sg": "Pmm2", "lattice": [[6.356, 0.000, 0.000], [0.000, 4.569, 0.000], [0.000, 0.000, 4.759]], "species": ["Bi", "Bi", "Bi", "Pm"], "frac_coords": [[0.500, 0.500, 0.240], [0.000, 0.000, 0.905], [0.000, 0.500, 0.465], [0.500, 0.000, 0.724]]}

=====

Calculated E (eV/cell), listed in the same order as above: -19.80, -11.98, -18.73, -15.23, -30.55, -47.69, -18.47, -24.87, -26.43, -123.34, -52.71, -11.92, -37.41, -35.98, -17.30, -90.50, -25.80, -22.68, -18.04